# 1
# Sr6Pb23

Sr6Pb23 after structural relaxation (PBE, Alexandria).

a b c (Å): 11.286 11.286 11.286
angles (deg): 60.00 60.00 60.00
Atoms (fractional coordinates):
1 Pb 0.500 0.500 0.500
2 Pb 0.169 0.493 0.169
3 Pb 0.620 0.620 0.620
4 Pb 0.500 0.500 0.000
5 Pb 0.500 0.000 0.500
6 Pb 0.380 0.859 0.380
7 Pb 0.380 0.380 0.380
8 Sr 0.782 0.218 0.218
9 Pb 0.000 0.500 0.000
10 Sr 0.782 0.218 0.782
11 Sr 0.782 0.782 0.218
12 Pb 0.831 0.831 0.507
13 Pb 0.169 0.169 0.169
14 Pb 0.500 0.000 0.000
15 Pb 0.620 0.141 0.620
16 Pb 0.141 0.620 0.620
17 Pb 0.507 0.831 0.831
18 Pb 0.000 0.500 0.500
19 Pb 0.000 0.000 0.500
20 Sr 0.218 0.782 0.782
21 Pb 0.831 0.831 0.831
22 Sr 0.218 0.218 0.782
23 Pb 0.169 0.169 0.493
24 Pb 0.859 0.380 0.380
25 Pb 0.831 0.507 0.831
26 Pb 0.493 0.169 0.169
27 Sr 0.218 0.782 0.218
28 Pb 0.380 0.380 0.859
29 Pb 0.620 0.620 0.141

Results
Space group = No. 225

=====

# 2
# Sr2TaPb

Sr2TaPb after structural relaxation (PBE, Alexandria).

a b c (Å): 9.046 9.046 7.138
angles (deg): 50.68 50.68 90.00
Atoms (fractional coordinates):
1 Ta 0.500 0.500 0.000
2 Sr 0.127 0.625 0.250
3 Sr 0.375 0.377 0.750
4 Ta 0.250 0.750 0.500
5 Sr 0.875 0.873 0.750
6 Sr 0.623 0.125 0.250
7 Pb 0.000 0.000 0.000
8 Pb 0.750 0.250 0.500

Results
Space group = No. 122

=====

# 3
# Sr2TaPb

Sr2TaPb after structural relaxation (PBE, Alexandria).

a b c (Å): 5.190 3.623 6.964
angles (deg): 75.00 90.00 90.00
Atoms (fractional coordinates):
1 Sr 0.500 0.286 0.302
2 Ta 0.000 0.681 0.513
3 Sr 0.000 0.964 0.948
4 Pb 0.500 0.570 0.737

Results
Space group = No. 6

=====

# 4
# Sr2TaPb

Sr2TaPb after structural relaxation (PBE, Alexandria).

a b c (Å): 6.277 7.511 3.325
angles (deg): 63.92 89.90 118.81
Atoms (fractional coordinates):
1 Sr 0.000 0.500 0.500
2 Sr 0.000 0.000 0.000
3 Pb 0.500 0.000 0.500
4 Ta 0.500 0.500 0.000

Results
Space group = No. 12

=====

# 5
# Sr2TaPb

Sr2TaPb after structural relaxation (PBE, Alexandria).

a b c (Å): 3.325 3.325 10.796
angles (deg): 90.00 90.00 90.02
Atoms (fractional coordinates):
1 Sr 0.000 0.000 0.010
2 Ta 0.500 0.500 0.250
3 Sr 0.000 0.000 0.490
4 Pb 0.500 0.500 0.750

Results
Space group = No. 123

=====

# 6
# SrTa3Pb

SrTa3Pb after structural relaxation (PBE, Alexandria).

a b c (Å): 4.983 4.983 4.983
angles (deg): 90.00 90.00 90.00
Atoms (fractional coordinates):
1 Pb 0.500 0.500 0.500
2 Ta 0.000 0.000 0.500
3 Ta 0.000 0.500 0.000
4 Sr 0.000 0.000 0.000
5 Ta 0.500 0.000 0.000

Results
Polymorph energy (0 for the lowest one) = 370 kJ/mol of formula units
Space group = No. 221

=====

# 7
# Sr2TaPb

Sr2TaPb after structural relaxation (PBE, Alexandria).

a b c (Å): 6.592 6.592 6.592
angles (deg): 142.68 130.37 63.70
Atoms (fractional coordinates):
1 Ta 0.455 0.455 0.000
2 Sr 0.736 0.236 0.500
3 Sr 0.026 0.026 0.000
4 Pb 0.283 0.783 0.500

Results
Space group = No. 44

=====

# 8
# Sr2TaPb

Sr2TaPb after structural relaxation (PBE, Alexandria).

a b c (Å): 5.565 5.565 5.565
angles (deg): 60.00 60.00 60.00
Atoms (fractional coordinates):
1 Sr 0.000 0.000 0.000
2 Ta 0.250 0.250 0.250
3 Pb 0.500 0.500 0.500
4 Sr 0.750 0.750 0.750

Results
Space group = No. 216

=====

no.,E (eV/atom),N(E_F) (states/eV/atom),energy of formation (eV/atom)
1,-3.450,0.7487,-0.161
2,-3.868,0.7936,0.863
3,-4.245,1.0789,0.487
4,-4.150,1.2650,0.582
5,-4.283,0.8910,0.448
6,-5.431,1.0791,2.759
7,-4.253,1.1211,0.478
8,-4.082,1.2181,0.649